A plane-wave DFT calculation with GGA-PBE was carried out for a relaxed structure of KLiZr3.

```
data_KLiZr3
_chemical_formula_sum 'K1 Li1 Zr3'
_symmetry_space_group_name_H-M 'P 1'
_symmetry_Int_Tables_number 1
_cell_length_a 5.064
_cell_length_b 5.064
_cell_length_c 5.064
_cell_angle_alpha 90.00
_cell_angle_beta 90.00
_cell_angle_gamma 90.00
loop_
_symmetry_equiv_pos_as_xyz
'x,y,z'
loop_
_atom_site_label
_atom_site_type_symbol
_atom_site_fract_x
_atom_site_fract_y
_atom_site_fract_z
K1 K 0.500 0.500 0.500
Zr1 Zr 0.000 0.500 0.000
Zr2 Zr 0.000 0.000 0.500
Zr3 Zr 0.500 0.000 0.000
Li1 Li 0.000 0.000 0.000
```

Values from the calculation:
DOS(E_F) in states/eV per atom: 1.61
Energy in eV per cell: -22.97
Space group: No. 221
Mass density in g/cm3: 4.09
Crystal system: cubic
E above lowest polymorph in meV/atom: 0.0

A plane-wave DFT calculation with GGA-PBE was carried out for a relaxed structure of K2LiZr.

```
data_K2LiZr
_chemical_formula_sum 'K2 Li1 Zr1'
_symmetry_space_group_name_H-M 'P 1'
_symmetry_Int_Tables_number 1
_cell_length_a 6.042
_cell_length_b 6.042
_cell_length_c 6.042
_cell_angle_alpha 120.20
_cell_angle_beta 120.20
_cell_angle_gamma 89.66
loop_
_symmetry_equiv_pos_as_xyz
'x,y,z'
loop_
_atom_site_label
_atom_site_type_symbol
_atom_site_fract_x
_atom_site_fract_y
_atom_site_fract_z
K1 K 0.000 0.000 0.000
K2 K 0.250 0.750 0.500
Li1 Li 0.500 0.500 0.000
Zr1 Zr 0.750 0.250 0.500
```

Values from the calculation:
DOS(E_F) in states/eV per atom: 1.76
Energy in eV per cell: -8.79
Space group: No. 119
Mass density in g/cm3: 1.88
Crystal system: tetragonal
E above lowest polymorph in meV/atom: 382.8

A plane-wave DFT calculation with GGA-PBE was carried out for a relaxed structure of KLi2Zr2.

```
data_KLi2Zr2
_chemical_formula_sum 'K1 Li2 Zr2'
_symmetry_space_group_name_H-M 'P 1'
_symmetry_Int_Tables_number 1
_cell_length_a 4.608
_cell_length_b 4.608
_cell_length_c 7.555
_cell_angle_alpha 72.24
_cell_angle_beta 72.24
_cell_angle_gamma 90.00
loop_
_symmetry_equiv_pos_as_xyz
'x,y,z'
loop_
_atom_site_label
_atom_site_type_symbol
_atom_site_fract_x
_atom_site_fract_y
_atom_site_fract_z
K1 K 0.000 0.000 0.000
Zr1 Zr 0.411 0.411 0.178
Zr2 Zr 0.589 0.589 0.822
Li1 Li 0.750 0.250 0.500
Li2 Li 0.250 0.750 0.500
```

Values from the calculation:
DOS(E_F) in states/eV per atom: 0.92
Energy in eV per cell: -16.84
Space group: No. 139
Mass density in g/cm3: 2.70
Crystal system: tetragonal
E above lowest polymorph in meV/atom: 449.9

A plane-wave DFT calculation with GGA-PBE was carried out for a relaxed structure of K2LiZr.

```
data_K2LiZr
_chemical_formula_sum 'K2 Li1 Zr1'
_symmetry_space_group_name_H-M 'P 1'
_symmetry_Int_Tables_number 1
_cell_length_a 7.272
_cell_length_b 7.272
_cell_length_c 3.116
_cell_angle_alpha 90.00
_cell_angle_beta 90.00
_cell_angle_gamma 119.81
loop_
_symmetry_equiv_pos_as_xyz
'x,y,z'
loop_
_atom_site_label
_atom_site_type_symbol
_atom_site_fract_x
_atom_site_fract_y
_atom_site_fract_z
K1 K 0.000 0.000 0.000
K2 K 0.500 0.500 0.000
Li1 Li 0.500 0.000 0.500
Zr1 Zr 0.000 0.500 0.500
```

Values from the calculation:
DOS(E_F) in states/eV per atom: 0.99
Energy in eV per cell: -9.52
Space group: No. 65
Mass density in g/cm3: 2.05
Crystal system: orthorhombic
E above lowest polymorph in meV/atom: 201.6